DFT (GGA-PBE) results for a geometry-optimized ErCoRu2C structure.

## Properties
Raw total energy: -8.119 eV per atom
Crystal system: tetragonal

Unit cell a=3.900 b=4.157 c=4.157 alpha=90.00 beta=90.00 gamma=90.00
Atoms (fractional coordinates):
Ru: 0.000 0.500 0.000
Co: 0.500 0.000 0.000
C: 0.000 0.000 0.000
Ru: 0.000 0.000 0.500
Er: 0.500 0.500 0.500

---

DFT (GGA-PBE) results for a geometry-optimized MnCdOs2 structure.

## Properties
Raw total energy: -7.848 eV per atom
Crystal system: trigonal

Unit cell a=9.250 b=9.250 c=9.250 alpha=17.02 beta=17.02 gamma=17.02
Atoms (fractional coordinates):
Cd: 0.250 0.250 0.250
Mn: 0.750 0.750 0.750
Os: 0.011 0.011 0.011
Os: 0.489 0.489 0.489

---

DFT (GGA-PBE) results for a geometry-optimized DyHo6Th3 structure.

## Properties
E above lowest polymorph: 0 meV per atom
Crystal system: monoclinic

Unit cell a=3.501 b=13.067 c=16.263 alpha=121.31 beta=90.00 gamma=90.00
Atoms (fractional coordinates):
Th: 0.250 0.381 0.496
Th: 0.250 0.876 0.910
Ho: 0.750 0.386 0.101
Th: 0.750 0.124 0.090
Th: 0.750 0.388 0.895
Ho: 0.250 0.347 0.691
Ho: 0.250 0.397 0.291
Ho: 0.750 0.857 0.097
Ho: 0.750 0.603 0.709
Ho: 0.750 0.653 0.309
Ho: 0.750 0.885 0.724
Ho: 0.250 0.873 0.513
Ho: 0.750 0.127 0.487
Th: 0.750 0.619 0.504
Ho: 0.250 0.115 0.276
Ho: 0.250 0.143 0.903
Dy: 0.750 0.116 0.697
Dy: 0.250 0.884 0.303
Ho: 0.250 0.614 0.899
Th: 0.250 0.612 0.105